No. 1
## Y8Ge3Te3As (GGA-PBE)

Data for Y8Ge3Te3As after structural relaxation.

symmetry	R-3m, No. 166
uncorrected formation energy	-17.1	eV per formula unit
crystal system	trigonal
uncorrected energy	-0.4741	Ry per atom

Geometry as POSCAR:
```
Y8Ge3Te3As
1.0
4.213 2.433 7.011
-4.213 2.433 7.011
0.000 -4.865 7.011
Y Ge Te As
8 3 3 1
direct
0.235 0.744 0.744 Y
0.240 0.240 0.240 Y
0.256 0.256 0.765 Y
0.256 0.765 0.256 Y
0.744 0.235 0.744 Y
0.744 0.744 0.235 Y
0.760 0.760 0.760 Y
0.765 0.256 0.256 Y
0.000 0.000 0.500 Ge
0.000 0.500 0.000 Ge
0.500 0.000 0.000 Ge
0.000 0.500 0.500 Te
0.500 0.000 0.500 Te
0.500 0.500 0.000 Te
0.500 0.500 0.500 As
```

No. 2
## Y6GeTe3As2 (GGA-PBE)

Data for Y6GeTe3As2 after structural relaxation.

symmetry	C2/m, No. 12
uncorrected formation energy	-17.2	eV per formula unit
crystal system	monoclinic
uncorrected energy	-0.4858	Ry per atom

Geometry as POSCAR:
```
Y6GeTe3As2
1.0
3.657 -6.340 0.000
3.657 6.340 0.000
-2.434 0.000 7.076
Y Ge Te As
6 1 3 2
direct
0.073 0.404 0.219 Y
0.258 0.258 0.781 Y
0.404 0.073 0.219 Y
0.596 0.927 0.781 Y
0.742 0.742 0.219 Y
0.927 0.596 0.781 Y
0.000 0.000 0.000 Ge
0.167 0.833 0.500 Te
0.500 0.500 0.500 Te
0.833 0.167 0.500 Te
0.334 0.666 0.000 As
0.666 0.334 0.000 As
```

No. 3
## Y6Ge2Te3As (GGA-PBE)

Data for Y6Ge2Te3As after structural relaxation.

symmetry	C2/m, No. 12
uncorrected formation energy	-16.0	eV per formula unit
crystal system	monoclinic
uncorrected energy	-0.4781	Ry per atom

Geometry as POSCAR:
```
Y6Ge2Te3As
1.0
9.354 -2.120 0.000
9.354 2.120 0.000
-2.154 0.000 8.340
Y Ge Te As
6 2 3 1
direct
0.008 0.008 0.235 Y
0.327 0.327 0.434 Y
0.339 0.339 0.898 Y
0.661 0.661 0.102 Y
0.673 0.673 0.566 Y
0.992 0.992 0.765 Y
0.166 0.166 0.332 Ge
0.834 0.834 0.668 Ge
0.165 0.165 0.834 Te
0.500 0.500 0.500 Te
0.835 0.835 0.166 Te
0.500 0.500 0.000 As
```

No. 4
## Y8Ge3Te4As (GGA-PBE)

Data for Y8Ge3Te4As after structural relaxation.

symmetry	R-3m, No. 166
uncorrected formation energy	-20.9	eV per formula unit
crystal system	trigonal
uncorrected energy	-0.4762	Ry per atom

Geometry as POSCAR:
```
Y8Ge3Te4As
1.0
4.241 2.448 7.094
-4.241 2.448 7.094
0.000 -4.897 7.094
Y Ge Te As
8 3 4 1
direct
0.237 0.741 0.741 Y
0.240 0.240 0.240 Y
0.259 0.259 0.763 Y
0.259 0.763 0.259 Y
0.741 0.237 0.741 Y
0.741 0.741 0.237 Y
0.760 0.760 0.760 Y
0.763 0.259 0.259 Y
0.000 0.000 0.500 Ge
0.000 0.500 0.000 Ge
0.500 0.000 0.000 Ge
0.000 0.000 0.000 Te
0.000 0.500 0.500 Te
0.500 0.000 0.500 Te
0.500 0.500 0.000 Te
0.500 0.500 0.500 As
```

No. 5
## Th5Ge4As (GGA-PBE)

Data for Th5Ge4As after structural relaxation.

symmetry	I4/m, No. 87
E_form	-0.912	eV/atom
crystal system	tetragonal
uncorrected energy	-0.5096	Ry per atom

Geometry as POSCAR:
```
Th5Ge4As
1.0
-4.805 4.805 3.037
4.805 -4.805 3.037
4.805 4.805 -3.037
Th Ge As
5 4 1
direct
0.000 0.000 0.000 Th
0.199 0.400 0.599 Th
0.400 0.801 0.201 Th
0.600 0.199 0.799 Th
0.801 0.600 0.401 Th
0.100 0.701 0.802 Ge
0.299 0.100 0.399 Ge
0.701 0.900 0.601 Ge
0.900 0.299 0.198 Ge
0.500 0.500 0.000 As
```

No. 6
## Th6GeAs5 (GGA-PBE)

Data for Th6GeAs5 after structural relaxation.

symmetry	C2/m, No. 12
E_form	-1.301	eV/atom
crystal system	monoclinic
uncorrected energy	-0.5390	Ry per atom

Geometry as POSCAR:
```
Th6GeAs5
1.0
3.690 -6.395 0.000
3.690 6.395 0.000
-2.464 0.000 6.964
Th Ge As
6 1 5
direct
0.083 0.415 0.749 Th
0.249 0.249 0.251 Th
0.415 0.083 0.749 Th
0.585 0.917 0.251 Th
0.751 0.751 0.749 Th
0.917 0.585 0.251 Th
0.000 0.000 0.500 Ge
0.167 0.833 0.000 As
0.333 0.667 0.500 As
0.500 0.500 0.000 As
0.667 0.333 0.500 As
0.833 0.167 0.000 As
```

No. 7
## Th4Ge3As (GGA-PBE)

Data for Th4Ge3As after structural relaxation.

symmetry	Pm-3m, No. 221
E_form	-0.944	eV/atom
crystal system	cubic
uncorrected energy	-0.5120	Ry per atom

Geometry as POSCAR:
```
Th4Ge3As
1.0
6.070 0.000 0.000
0.000 6.070 0.000
0.000 0.000 6.070
Th Ge As
4 3 1
direct
0.000 0.000 0.000 Th
0.000 0.500 0.500 Th
0.500 0.000 0.500 Th
0.500 0.500 0.000 Th
0.000 0.000 0.500 Ge
0.000 0.500 0.000 Ge
0.500 0.000 0.000 Ge
0.500 0.500 0.500 As
```

No. 8
## Th4Ge2As (GGA-PBE)

Data for Th4Ge2As after structural relaxation.

symmetry	Cmcm, No. 63
E_form	-0.671	eV/atom
crystal system	orthorhombic
uncorrected energy	-0.5067	Ry per atom

Geometry as POSCAR:
```
Th4Ge2As
1.0
2.078 -6.980 0.000
2.078 6.980 0.000
0.000 0.000 14.039
Th Ge As
8 4 2
direct
0.000 0.000 0.000 Th
0.000 0.000 0.500 Th
0.280 0.720 0.627 Th
0.280 0.720 0.873 Th
0.444 0.556 0.250 Th
0.556 0.444 0.750 Th
0.720 0.280 0.127 Th
0.720 0.280 0.373 Th
0.358 0.642 0.063 Ge
0.358 0.642 0.437 Ge
0.642 0.358 0.563 Ge
0.642 0.358 0.937 Ge
0.099 0.901 0.250 As
0.901 0.099 0.750 As
```

No. 9
## ThGeAs (GGA-PBE)

Data for ThGeAs after structural relaxation.

symmetry	P2_13, No. 198
E_form	-0.353	eV/atom
crystal system	cubic
uncorrected energy	-0.4348	Ry per atom

Geometry as POSCAR:
```
ThGeAs
1.0
6.794 0.000 0.000
0.000 6.794 0.000
0.000 0.000 6.794
Th Ge As
4 4 4
direct
0.023 0.023 0.023 Th
0.477 0.977 0.523 Th
0.523 0.477 0.977 Th
0.977 0.523 0.477 Th
0.019 0.519 0.981 Ge
0.481 0.481 0.481 Ge
0.519 0.981 0.019 Ge
0.981 0.019 0.519 Ge
0.225 0.275 0.725 As
0.275 0.725 0.225 As
0.725 0.225 0.275 As
0.775 0.775 0.775 As
```

No. 10
## Th4GeAs2 (GGA-PBE)

Data for Th4GeAs2 after structural relaxation.

symmetry	Cmcm, No. 63
E_form	-0.885	eV/atom
crystal system	orthorhombic
uncorrected energy	-0.5228	Ry per atom

Geometry as POSCAR:
```
Th4GeAs2
1.0
2.078 -6.783 0.000
2.078 6.783 0.000
0.000 0.000 14.332
Th Ge As
8 2 4
direct
0.000 0.000 0.000 Th
0.000 0.000 0.500 Th
0.284 0.716 0.626 Th
0.284 0.716 0.874 Th
0.439 0.561 0.250 Th
0.561 0.439 0.750 Th
0.716 0.284 0.126 Th
0.716 0.284 0.374 Th
0.100 0.900 0.250 Ge
0.900 0.100 0.750 Ge
0.357 0.643 0.063 As
0.357 0.643 0.437 As
0.643 0.357 0.563 As
0.643 0.357 0.937 As
```

No. 11
## ThGeAs2 (GGA-PBE)

Data for ThGeAs2 after structural relaxation.

symmetry	P4/mmm, No. 123
E_form	-0.647	eV/atom
crystal system	tetragonal
uncorrected energy	-0.4396	Ry per atom

Geometry as POSCAR:
```
ThGeAs2
1.0
4.668 0.000 0.000
0.000 4.668 0.000
0.000 0.000 3.971
Th Ge As
1 1 2
direct
0.000 0.000 0.000 Th
0.500 0.500 0.000 Ge
0.000 0.500 0.500 As
0.500 0.000 0.500 As
```

No. 12
## Th3GeAs2 (GGA-PBE)

Data for Th3GeAs2 after structural relaxation.

symmetry	Immm, No. 71
E_form	-1.206	eV/atom
crystal system	orthorhombic
uncorrected energy	-0.5318	Ry per atom

Geometry as POSCAR:
```
Th3GeAs2
1.0
4.272 0.000 0.000
0.000 6.036 0.000
0.000 0.000 12.833
Th Ge As
6 2 4
direct
0.000 0.000 0.000 Th
0.000 0.000 0.334 Th
0.000 0.000 0.666 Th
0.500 0.500 0.166 Th
0.500 0.500 0.500 Th
0.500 0.500 0.834 Th
0.000 0.500 0.000 Ge
0.500 0.000 0.500 Ge
0.000 0.500 0.333 As
0.000 0.500 0.667 As
0.500 0.000 0.167 As
0.500 0.000 0.833 As
```

No. 13
## Th4GeAs3 (GGA-PBE)

Data for Th4GeAs3 after structural relaxation.

symmetry	Pm-3m, No. 221
E_form	-1.263	eV/atom
crystal system	cubic
uncorrected energy	-0.5361	Ry per atom

Geometry as POSCAR:
```
Th4GeAs3
1.0
6.031 0.000 0.000
0.000 6.031 0.000
0.000 0.000 6.031
Th Ge As
4 1 3
direct
0.000 0.000 0.000 Th
0.000 0.500 0.500 Th
0.500 0.000 0.500 Th
0.500 0.500 0.000 Th
0.500 0.500 0.500 Ge
0.000 0.000 0.500 As
0.000 0.500 0.000 As
0.500 0.000 0.000 As
```

No. 14
## Th6Ge5As (GGA-PBE)

Data for Th6Ge5As after structural relaxation.

symmetry	C2/m, No. 12
E_form	-0.890	eV/atom
crystal system	monoclinic
uncorrected energy	-0.5080	Ry per atom

Geometry as POSCAR:
```
Th6Ge5As
1.0
3.723 -6.449 0.000
3.723 6.449 0.000
-2.481 0.000 7.014
Th Ge As
6 5 1
direct
0.083 0.416 0.249 Th
0.250 0.250 0.751 Th
0.416 0.083 0.249 Th
0.584 0.917 0.751 Th
0.750 0.750 0.249 Th
0.917 0.584 0.751 Th
0.000 0.000 0.000 Ge
0.167 0.833 0.500 Ge
0.334 0.666 0.000 Ge
0.666 0.334 0.000 Ge
0.833 0.167 0.500 Ge
0.500 0.500 0.500 As
```

No. 15
## Th3Ge2As (GGA-PBE)

Data for Th3Ge2As after structural relaxation.

symmetry	Immm, No. 71
E_form	-0.999	eV/atom
crystal system	orthorhombic
uncorrected energy	-0.5162	Ry per atom

Geometry as POSCAR:
```
Th3Ge2As
1.0
4.299 0.000 0.000
0.000 6.065 0.000
0.000 0.000 12.853
Th Ge As
6 4 2
direct
0.000 0.000 0.000 Th
0.000 0.000 0.333 Th
0.000 0.000 0.667 Th
0.500 0.500 0.167 Th
0.500 0.500 0.500 Th
0.500 0.500 0.833 Th
0.000 0.500 0.334 Ge
0.000 0.500 0.666 Ge
0.500 0.000 0.166 Ge
0.500 0.000 0.834 Ge
0.000 0.500 0.000 As
0.500 0.000 0.500 As
```

No. 16
## TmThGeAs (GGA-PBE)

Data for TmThGeAs after structural relaxation.

symmetry	R3m, No. 160
E_form	-1.105	eV/atom
crystal system	trigonal
uncorrected energy	-0.4700	Ry per atom

Geometry as POSCAR:
```
TmThGeAs
1.0
4.214 0.000 0.000
-2.107 3.649 0.000
0.000 0.000 20.280
Tm Th Ge As
3 3 3 3
direct
0.000 0.000 0.000 Tm
0.333 0.667 0.667 Tm
0.667 0.333 0.333 Tm
0.000 0.000 0.498 Th
0.333 0.667 0.165 Th
0.667 0.333 0.831 Th
0.000 0.000 0.746 Ge
0.333 0.667 0.413 Ge
0.667 0.333 0.080 Ge
0.000 0.000 0.253 As
0.333 0.667 0.920 As
0.667 0.333 0.586 As
```

No. 17
## YThGeAs (GGA-PBE)

Data for YThGeAs after structural relaxation.

symmetry	R3m, No. 160
E_form	-1.141	eV/atom
crystal system	trigonal
uncorrected energy	-0.5092	Ry per atom

Geometry as POSCAR:
```
YThGeAs
1.0
4.236 0.000 0.000
-2.118 3.669 0.000
0.000 0.000 20.513
Y Th Ge As
3 3 3 3
direct
0.000 0.000 0.000 Y
0.333 0.667 0.667 Y
0.667 0.333 0.333 Y
0.000 0.000 0.498 Th
0.333 0.667 0.165 Th
0.667 0.333 0.832 Th
0.000 0.000 0.748 Ge
0.333 0.667 0.415 Ge
0.667 0.333 0.081 Ge
0.000 0.000 0.252 As
0.333 0.667 0.918 As
0.667 0.333 0.585 As
```

No. 18
## Ti5Ge2As (GGA-PBE)

Data for Ti5Ge2As after structural relaxation.

symmetry	Pbam, No. 55
E_form	-0.680	eV/atom
crystal system	orthorhombic
uncorrected energy	-0.5402	Ry per atom

Geometry as POSCAR:
```
Ti5Ge2As
1.0
6.776 0.000 0.000
0.000 10.253 0.000
0.000 0.000 3.821
Ti Ge As
10 4 2
direct
0.000 0.000 0.000 Ti
0.144 0.282 0.000 Ti
0.215 0.571 0.500 Ti
0.285 0.071 0.500 Ti
0.356 0.782 0.000 Ti
0.500 0.500 0.000 Ti
0.644 0.218 0.000 Ti
0.715 0.929 0.500 Ti
0.785 0.429 0.500 Ti
0.856 0.718 0.000 Ti
0.084 0.824 0.500 Ge
0.416 0.324 0.500 Ge
0.584 0.676 0.500 Ge
0.916 0.176 0.500 Ge
0.000 0.500 0.000 As
0.500 0.000 0.000 As
```

No. 19
## Ti7Ge2As2 (GGA-PBE)

Data for Ti7Ge2As2 after structural relaxation.

symmetry	Cmmm, No. 65
E_form	-0.339	eV/atom
crystal system	orthorhombic
uncorrected energy	-0.5180	Ry per atom

Geometry as POSCAR:
```
Ti7Ge2As2
1.0
3.705 -4.593 0.000
3.705 4.593 0.000
0.000 0.000 5.878
Ti Ge As
7 2 2
direct
0.000 0.000 0.000 Ti
0.000 0.500 0.278 Ti
0.000 0.500 0.722 Ti
0.500 0.000 0.278 Ti
0.500 0.000 0.722 Ti
0.500 0.500 0.265 Ti
0.500 0.500 0.735 Ti
0.181 0.181 0.500 Ge
0.819 0.819 0.500 Ge
0.279 0.721 0.000 As
0.721 0.279 0.000 As
```

No. 20
## Ti2GeAs (GGA-PBE)

Data for Ti2GeAs after structural relaxation.

energy above the lowest structure with this stoichiometry	0.000	eV/atom
symmetry	R-3m, No. 166
E_form	-0.662	eV/atom
crystal system	trigonal
uncorrected energy	-0.5091	Ry per atom

Geometry as POSCAR:
```
Ti2GeAs
1.0
3.665 0.000 0.000
-1.833 3.174 0.000
0.000 0.000 18.023
Ti Ge As
6 3 3
direct
0.000 0.000 0.250 Ti
0.000 0.000 0.750 Ti
0.333 0.667 0.417 Ti
0.333 0.667 0.917 Ti
0.667 0.333 0.083 Ti
0.667 0.333 0.583 Ti
0.000 0.000 0.000 Ge
0.333 0.667 0.667 Ge
0.667 0.333 0.333 Ge
0.000 0.000 0.500 As
0.333 0.667 0.167 As
0.667 0.333 0.833 As
```